# 1
# K3Sb4Pd2 | Alexandria via LeMat-Bulk | PBE | optimized geometry
# ρ in g/cm³: 4.68
# Formation energy from raw total energies in eV per atom: -0.45
data_K3Sb4Pd2
_space_group_name_H-M_alt 'C 1 2/m 1'
_space_group_IT_number 12
_cell_length_a 13.257
_cell_length_b 4.505
_cell_length_c 9.958
_cell_angle_alpha 90.00
_cell_angle_beta 102.83
_cell_angle_gamma 90.00
loop_
_space_group_symop_operation_xyz
'x,y,z'
'-x,-y,-z'
'-x,y,-z'
'x,-y,z'
'x+1/2,y+1/2,z'
'-x+1/2,-y+1/2,-z'
'-x+1/2,y+1/2,-z'
'x+1/2,-y+1/2,z'
loop_
_atom_site_label
_atom_site_fract_x
_atom_site_fract_y
_atom_site_fract_z
K1 0.000 0.000 0.000
K2 0.123 0.500 0.402
Sb1 0.096 0.000 0.675
Sb2 0.215 0.500 0.097
Pd1 0.175 0.500 0.817



# 2
# K2SbPd3 | Alexandria via LeMat-Bulk | PBE | optimized geometry
# ρ in g/cm³: 6.47
# Formation energy from raw total energies in eV per atom: -0.32
data_K2SbPd3
_space_group_name_H-M_alt 'R -3 m'
_space_group_IT_number 166
_space_group_name_Hall '-R 3 2"'
_cell_length_a 5.9849
_cell_length_b 5.9849
_cell_length_c 12.8856
_cell_angle_alpha 90.00
_cell_angle_beta 90.00
_cell_angle_gamma 120.00
loop_
_atom_site_label
_atom_site_fract_x
_atom_site_fract_y
_atom_site_fract_z
K1 0.0000 0.0000 0.1217
Sb1 0.0000 0.0000 0.5000
Pd1 0.0000 0.5000 0.0000



# 3
# K2Sb2Pd | Alexandria via LeMat-Bulk | PBE | optimized geometry
# ρ in g/cm³: 4.33
# Formation energy from raw total energies in eV per atom: -0.42
data_K2Sb2Pd
_space_group_name_H-M_alt 'C 1 2/m 1'
_space_group_IT_number 12
_cell_length_a 12.562
_cell_length_b 4.786
_cell_length_c 11.863
_cell_angle_alpha 90.00
_cell_angle_beta 113.01
_cell_angle_gamma 90.00
loop_
_space_group_symop_operation_xyz
'x,y,z'
'-x,-y,-z'
'-x,y,-z'
'x,-y,z'
'x+1/2,y+1/2,z'
'-x+1/2,-y+1/2,-z'
'-x+1/2,y+1/2,-z'
'x+1/2,-y+1/2,z'
loop_
_atom_site_label
_atom_site_fract_x
_atom_site_fract_y
_atom_site_fract_z
K1 0.045 0.000 0.172
K2 0.188 0.000 0.603
Sb1 0.012 0.500 0.385
Sb2 0.230 0.500 0.079
Pd1 0.163 0.500 0.836



# 4
# KSb3Pd5 | Alexandria via LeMat-Bulk | PBE | optimized geometry
# ρ in g/cm³: 7.86
# Formation energy from raw total energies in eV per atom: -0.49
data_KSb3Pd5
_space_group_name_H-M_alt 'C m c m'
_space_group_IT_number 63
_space_group_name_Hall '-C 2c 2'
_cell_length_a 4.177
_cell_length_b 14.042
_cell_length_c 13.484
_cell_angle_alpha 90.00
_cell_angle_beta 90.00
_cell_angle_gamma 90.00
loop_
_atom_site_label
_atom_site_fract_x
_atom_site_fract_y
_atom_site_fract_z
K1 0.000 0.164 0.250
Sb1 0.000 0.113 0.750
Sb2 0.000 0.379 0.543
Pd1 0.000 0.000 0.000
Pd2 0.000 0.194 0.566
Pd3 0.000 0.451 0.144



Number 1: total magnetization 0.000 μB per atom. Number 2: total magnetization 0.000 μB per atom. Number 3: total magnetization 0.000 μB per atom. Number 4: total magnetization 0.000 μB per atom.